w.
LaTi2Al2 | PBE-GGA | relaxed

Summary:
spin magnetization = 0.20 μB per atom
calculated density = 4.369 Mg/m³
space-group type = I4/mmm, No. 139
crystal system = tetragonal

Structure (POSCAR):
```
LaTi2Al2
1.0
-2.181 2.181 5.767
2.181 -2.181 5.767
2.181 2.181 -5.767
La Ti Al
1 2 2
Direct
0.000 0.000 0.000 La
0.388 0.388 0.000 Ti
0.612 0.612 0.000 Ti
0.250 0.750 0.500 Al
0.750 0.250 0.500 Al
```

---

x.
LaTi2Al2 | PBE-GGA | relaxed

Summary:
spin magnetization = 0.41 μB per atom
calculated density = 4.303 Mg/m³
space-group type = I4/mmm, No. 139
crystal system = tetragonal

Structure (POSCAR):
```
LaTi2Al2
1.0
-2.103 2.103 6.297
2.103 -2.103 6.297
2.103 2.103 -6.297
La Ti Al
1 2 2
Direct
0.000 0.000 0.000 La
0.250 0.750 0.500 Ti
0.750 0.250 0.500 Ti
0.394 0.394 0.000 Al
0.606 0.606 0.000 Al
```

---

Which of them is most stable? Easy: x.

---

w.
LaTi2Al2 | PBE-GGA | relaxed

Summary:
spin magnetization = 0.00 μB per atom
calculated density = 4.767 Mg/m³
space-group type = P4/mbm, No. 127
crystal system = tetragonal

Structure (POSCAR):
```
LaTi2Al2
1.0
8.029 0.000 0.000
0.000 8.029 0.000
0.000 0.000 3.119
La Ti Al
2 4 4
Direct
0.000 0.000 0.000 La
0.500 0.500 0.000 La
0.175 0.325 0.500 Ti
0.325 0.825 0.500 Ti
0.675 0.175 0.500 Ti
0.825 0.675 0.500 Ti
0.117 0.617 0.000 Al
0.383 0.117 0.000 Al
0.617 0.883 0.000 Al
0.883 0.383 0.000 Al
```

---

x.
LaTi2Al2 | PBE-GGA | relaxed

Summary:
spin magnetization = 0.00 μB per atom
calculated density = 4.804 Mg/m³
space-group type = P4/mbm, No. 127
crystal system = tetragonal

Structure (POSCAR):
```
LaTi2Al2
1.0
8.255 0.000 0.000
0.000 8.255 0.000
0.000 0.000 2.928
La Ti Al
2 4 4
Direct
0.000 0.000 0.000 La
0.500 0.500 0.000 La
0.117 0.383 0.000 Ti
0.383 0.883 0.000 Ti
0.617 0.117 0.000 Ti
0.883 0.617 0.000 Ti
0.173 0.673 0.500 Al
0.327 0.173 0.500 Al
0.673 0.827 0.500 Al
0.827 0.327 0.500 Al
```

---

Which of them is most stable? Easy: x.

---

w.
La4AlTl | PBE-GGA | relaxed

Summary:
spin magnetization = 0.00 μB per atom
calculated density = 6.763 Mg/m³
space-group type = F-43m, No. 216
crystal system = cubic

Structure (POSCAR):
```
La4AlTl
1.0
0.000 4.589 4.589
4.589 0.000 4.589
4.589 4.589 0.000
La Al Tl
4 1 1
Direct
0.376 0.376 0.376 La
0.376 0.376 0.872 La
0.376 0.872 0.376 La
0.872 0.376 0.376 La
0.750 0.750 0.750 Al
0.000 0.000 0.000 Tl
```

---

x.
La4AlTl | PBE-GGA | relaxed

Summary:
spin magnetization = 0.00 μB per atom
calculated density = 6.030 Mg/m³
space-group type = C2/m, No. 12
crystal system = monoclinic

Structure (POSCAR):
```
La4AlTl
1.0
4.586 -2.657 0.000
4.586 2.657 0.000
-3.067 0.000 8.892
La Al Tl
4 1 1
Direct
0.119 0.119 0.358 La
0.372 0.372 0.115 La
0.628 0.628 0.885 La
0.881 0.881 0.642 La
0.000 0.000 0.000 Al
0.500 0.500 0.500 Tl
```

---

Which of them is most stable? Easy: x.

---

w.
LaAl2Tl2 | PBE-GGA | relaxed

Summary:
spin magnetization = 0.00 μB per atom
calculated density = 7.875 Mg/m³
space-group type = P4/mbm, No. 127
crystal system = tetragonal

Structure (POSCAR):
```
LaAl2Tl2
1.0
8.271 0.000 0.000
0.000 8.271 0.000
0.000 0.000 3.709
La Al Tl
2 4 4
Direct
0.000 0.000 0.000 La
0.500 0.500 0.000 La
0.119 0.381 0.000 Al
0.381 0.881 0.000 Al
0.619 0.119 0.000 Al
0.881 0.619 0.000 Al
0.174 0.674 0.500 Tl
0.326 0.174 0.500 Tl
0.674 0.826 0.500 Tl
0.826 0.326 0.500 Tl
```

---

x.
LaAl2Tl2 | PBE-GGA | relaxed

Summary:
spin magnetization = 0.00 μB per atom
calculated density = 7.791 Mg/m³
space-group type = P4/mbm, No. 127
crystal system = tetragonal

Structure (POSCAR):
```
LaAl2Tl2
1.0
8.550 0.000 0.000
0.000 8.550 0.000
0.000 0.000 3.509
La Al Tl
2 4 4
Direct
0.000 0.000 0.000 La
0.500 0.500 0.000 La
0.164 0.336 0.500 Al
0.336 0.836 0.500 Al
0.664 0.164 0.500 Al
0.836 0.664 0.500 Al
0.134 0.634 0.000 Tl
0.366 0.134 0.000 Tl
0.634 0.866 0.000 Tl
0.866 0.366 0.000 Tl
```

---

y.
LaAl2Tl2 | PBE-GGA | relaxed

Summary:
spin magnetization = 0.00 μB per atom
calculated density = 7.777 Mg/m³
space-group type = I4/mmm, No. 139
crystal system = tetragonal

Structure (POSCAR):
```
LaAl2Tl2
1.0
-2.399 2.399 5.582
2.399 -2.399 5.582
2.399 2.399 -5.582
La Al Tl
1 2 2
Direct
0.000 0.000 0.000 La
0.388 0.388 0.000 Al
0.612 0.612 0.000 Al
0.250 0.750 0.500 Tl
0.750 0.250 0.500 Tl
```

---

Which of them is most stable? Easy: y.

---

w.
La6Al2Tl | PBE-GGA | relaxed

Summary:
spin magnetization = 0.00 μB per atom
calculated density = 5.121 Mg/m³
space-group type = P4_2/mnm, No. 136
crystal system = tetragonal

Structure (POSCAR):
```
La6Al2Tl
1.0
7.950 0.000 0.000
0.000 7.950 0.000
0.000 0.000 11.204
La Al Tl
12 4 2
Direct
0.214 0.214 0.000 La
0.226 0.226 0.326 La
0.226 0.226 0.674 La
0.274 0.726 0.174 La
0.274 0.726 0.826 La
0.286 0.714 0.500 La
0.714 0.286 0.500 La
0.726 0.274 0.174 La
0.726 0.274 0.826 La
0.774 0.774 0.326 La
0.774 0.774 0.674 La
0.786 0.786 0.000 La
0.000 0.000 0.166 Al
0.000 0.000 0.834 Al
0.500 0.500 0.334 Al
0.500 0.500 0.666 Al
0.000 0.000 0.500 Tl
0.500 0.500 0.000 Tl
```

---

x.
La6Al2Tl | PBE-GGA | relaxed

Summary:
spin magnetization = 0.00 μB per atom
calculated density = 6.153 Mg/m³
space-group type = Immm, No. 71
crystal system = orthorhombic

Structure (POSCAR):
```
La6Al2Tl
1.0
-5.120 5.177 5.558
5.120 -5.177 5.558
5.120 5.177 -5.558
La Al Tl
12 4 2
Direct
0.036 0.823 0.214 La
0.247 0.544 0.297 La
0.247 0.950 0.703 La
0.277 0.314 0.591 La
0.277 0.686 0.963 La
0.391 0.177 0.214 La
0.609 0.823 0.786 La
0.723 0.314 0.037 La
0.723 0.686 0.409 La
0.753 0.050 0.297 La
0.753 0.456 0.703 La
0.964 0.177 0.786 La
0.000 0.136 0.136 Al
0.000 0.864 0.864 Al
0.381 0.381 0.000 Al
0.619 0.619 0.000 Al
0.000 0.500 0.500 Tl
0.500 0.000 0.500 Tl
```

---

Which of them is most stable? Easy: x.

---

w.
LaZrAlTlV | PBE-GGA | relaxed

Summary:
spin magnetization = 0.26 μB per atom
calculated density = 7.149 Mg/m³
space-group type = Imm2, No. 44
crystal system = orthorhombic

Structure (POSCAR):
```
LaZrAlTlV
1.0
-1.913 2.269 6.855
1.913 -2.269 6.855
1.913 2.269 -6.855
La Zr Al Tl V
1 1 1 1 1
Direct
0.000 0.000 0.000 La
0.722 0.222 0.500 Zr
0.192 0.692 0.500 Al
0.370 0.370 0.000 Tl
0.580 0.580 0.000 V
```

---

x.
LaZrAlTlV | PBE-GGA | relaxed

Summary:
spin magnetization = 0.45 μB per atom
calculated density = 7.328 Mg/m³
space-group type = Amm2, No. 38
crystal system = orthorhombic

Structure (POSCAR):
```
LaZrAlTlV
1.0
3.446 0.000 0.000
0.000 2.301 7.322
0.000 -2.301 7.322
La Zr Al Tl V
1 1 1 1 1
Direct
0.000 0.000 0.000 La
0.000 0.745 0.745 Zr
0.500 0.182 0.182 Al
0.500 0.374 0.374 Tl
0.500 0.593 0.593 V
```

---

y.
LaZrAlTlV | PBE-GGA | relaxed

Summary:
spin magnetization = 0.01 μB per atom
calculated density = 7.281 Mg/m³
space-group type = Pmm2, No. 25
crystal system = orthorhombic

Structure (POSCAR):
```
LaZrAlTlV
1.0
3.825 0.000 0.000
0.000 4.454 0.000
0.000 0.000 6.859
La Zr Al Tl V
1 1 1 1 1
Direct
0.000 0.000 0.000 La
0.500 0.000 0.457 Zr
0.500 0.500 0.189 Al
0.500 0.500 0.764 Tl
0.000 0.500 0.451 V
```

---

Which of them is most stable? Easy: y.

---

w.
LaTm2Al | PBE-GGA | relaxed

Summary:
spin magnetization = 0.00 μB per atom
calculated density = 7.164 Mg/m³
space-group type = R-3m, No. 166
crystal system = trigonal

Structure (POSCAR):
```
LaTm2Al
1.0
1.720 0.993 11.399
-1.720 0.993 11.399
0.000 -1.986 11.399
La Tm Al
1 2 1
Direct
0.000 0.000 0.000 La
0.101 0.101 0.101 Tm
0.899 0.899 0.899 Tm
0.500 0.500 0.500 Al
```

---

x.
LaTm2Al | PBE-GGA | relaxed

Summary:
spin magnetization = 0.00 μB per atom
calculated density = 7.539 Mg/m³
space-group type = P4/mmm, No. 123
crystal system = tetragonal

Structure (POSCAR):
```
LaTm2Al
1.0
4.816 0.000 0.000
0.000 4.816 0.000
0.000 0.000 4.784
La Tm Al
1 2 1
Direct
0.000 0.000 0.000 La
0.000 0.500 0.500 Tm
0.500 0.000 0.500 Tm
0.500 0.500 0.000 Al
```

---

Which of them is most stable? Easy: x.

---

w.
LaTm2Al | PBE-GGA | relaxed

Summary:
spin magnetization = 0.00 μB per atom
calculated density = 6.821 Mg/m³
space-group type = R3m, No. 160
crystal system = trigonal

Structure (POSCAR):
```
LaTm2Al
1.0
2.523 1.457 5.560
-2.523 1.457 5.560
0.000 -2.914 5.560
La Tm Al
1 2 1
Direct
0.000 0.000 0.000 La
0.213 0.213 0.213 Tm
0.446 0.446 0.446 Tm
0.798 0.798 0.798 Al
```

---

x.
LaTm2Al | PBE-GGA | relaxed

Summary:
spin magnetization = 0.00 μB per atom
calculated density = 7.417 Mg/m³
space-group type = P4/mmm, No. 123
crystal system = tetragonal

Structure (POSCAR):
```
LaTm2Al
1.0
3.518 0.000 0.000
0.000 3.518 0.000
0.000 0.000 9.111
La Tm Al
1 2 1
Direct
0.000 0.000 0.000 La
0.500 0.500 0.296 Tm
0.500 0.500 0.704 Tm
0.000 0.000 0.500 Al
```

---

Which of them is most stable? Easy: x.

---

w.
LaTm4Al | PBE-GGA | relaxed

Summary:
spin magnetization = 0.00 μB per atom
calculated density = 7.959 Mg/m³
space-group type = C2/c, No. 15
crystal system = monoclinic

Structure (POSCAR):
```
LaTm4Al
1.0
4.382 -6.887 0.000
4.382 6.887 0.000
-1.992 0.000 5.819
La Tm Al
2 8 2
Direct
0.098 0.902 0.750 La
0.902 0.098 0.250 La
0.110 0.339 0.871 Tm
0.216 0.581 0.452 Tm
0.339 0.110 0.371 Tm
0.419 0.784 0.048 Tm
0.581 0.216 0.952 Tm
0.661 0.890 0.629 Tm
0.784 0.419 0.548 Tm
0.890 0.661 0.129 Tm
0.499 0.501 0.250 Al
0.501 0.499 0.750 Al
```

---

x.
LaTm4Al | PBE-GGA | relaxed

Summary:
spin magnetization = 0.00 μB per atom
calculated density = 8.051 Mg/m³
space-group type = P4/mmm, No. 123
crystal system = tetragonal

Structure (POSCAR):
```
LaTm4Al
1.0
3.537 0.000 0.000
0.000 3.537 0.000
0.000 0.000 13.874
La Tm Al
1 4 1
Direct
0.000 0.000 0.000 La
0.000 0.000 0.367 Tm
0.000 0.000 0.633 Tm
0.500 0.500 0.188 Tm
0.500 0.500 0.812 Tm
0.500 0.500 0.500 Al
```

---

Which of them is most stable? Easy: x.

---

w.
LaTmAl | PBE-GGA | relaxed

Summary:
spin magnetization = 0.00 μB per atom
calculated density = 6.640 Mg/m³
space-group type = P4/nmm, No. 129
crystal system = tetragonal

Structure (POSCAR):
```
LaTmAl
1.0
3.461 0.000 0.000
0.000 3.461 0.000
0.000 0.000 13.980
La Tm Al
2 2 2
Direct
0.250 0.250 0.116 La
0.750 0.750 0.884 La
0.250 0.250 0.408 Tm
0.750 0.750 0.592 Tm
0.250 0.250 0.731 Al
0.750 0.750 0.269 Al
```

---

x.
LaTmAl | PBE-GGA | relaxed

Summary:
spin magnetization = 0.00 μB per atom
calculated density = 6.565 Mg/m³
space-group type = P3m1, No. 156
crystal system = trigonal

Structure (POSCAR):
```
LaTmAl
1.0
5.138 0.000 0.000
-2.569 4.450 0.000
0.000 0.000 3.704
La Tm Al
1 1 1
Direct
0.000 0.000 0.000 La
0.667 0.333 0.557 Tm
0.333 0.667 0.388 Al
```

---

Which of them is most stable? Easy: w.

---

w.
LaTmAl | PBE-GGA | relaxed

Summary:
spin magnetization = 0.00 μB per atom
calculated density = 6.477 Mg/m³
space-group type = I4/mmm, No. 139
crystal system = tetragonal

Structure (POSCAR):
```
LaTmAl
1.0
-1.730 1.730 14.342
1.730 -1.730 14.342
1.730 1.730 -14.342
La Tm Al
2 2 2
Direct
0.065 0.065 0.000 La
0.935 0.935 0.000 La
0.205 0.205 0.000 Tm
0.795 0.795 0.000 Tm
0.363 0.363 0.000 Al
0.637 0.637 0.000 Al
```

---

x.
LaTmAl | PBE-GGA | relaxed

Summary:
spin magnetization = 0.00 μB per atom
calculated density = 6.573 Mg/m³
space-group type = I4mm, No. 107
crystal system = tetragonal

Structure (POSCAR):
```
LaTmAl
1.0
-1.757 1.757 6.850
1.757 -1.757 6.850
1.757 1.757 -6.850
La Tm Al
1 1 1
Direct
0.000 0.000 0.000 La
0.292 0.292 0.000 Tm
0.658 0.658 0.000 Al
```

---

Which of them is most stable? Easy: x.